# Ti8N5

A crystal of Ti8N5 relaxed with PBEsol (meta-GGA SCAN, the Alexandria database).

Cell: 4.1598 4.1598 8.5233 Å, 90.00 90.00 90.00°
Closest atoms and distances in Å follow each position.
Element x y z (fractional)
Ti 0.0000 0.5000 0.0160  5 N 1.99-2.08
Ti 0.5000 0.5000 0.7593  3 N 2.05-2.08
Ti 0.0000 0.0000 0.2554  4 N 2.08-2.18
N 0.0000 0.0000 0.0000  6 Ti 2.08-2.18
Ti 0.5000 0.0000 0.9840  5 N 1.99-2.08
N 0.0000 0.5000 0.2497  6 Ti 1.99-2.08
Ti 0.5000 0.5000 0.2407  3 N 2.05-2.08
Ti 0.0000 0.5000 0.4855  3 N 2.01-2.08
Ti 0.5000 0.0000 0.5145  3 N 2.01-2.08
Ti 0.0000 0.0000 0.7446  4 N 2.08-2.18
N 0.5000 0.5000 0.0000  6 Ti 2.05-2.08
N 0.0000 0.0000 0.5000  6 Ti 2.08
N 0.5000 0.0000 0.7503  6 Ti 1.99-2.08

Calculated values
DFT total energy, eV per cell: -195.5
N(E_F), states/eV per atom: 0.517
E_form (uncorrected), meV/atom: -1601
Calculated volume, Å³/cell: 147.5

***

# Ti3TlN

A crystal of Ti3TlN relaxed with PBEsol (meta-GGA SCAN, the Alexandria database).

Cell: 4.1603 4.1603 4.1603 Å, 90.00 90.00 90.00°
Closest atoms and distances in Å follow each position.
Element x y z (fractional)
N 0.0000 0.0000 0.0000  6 Ti 2.08
Ti 0.0000 0.0000 0.5000  2 N 2.08
Ti 0.0000 0.5000 0.0000  2 N 2.08
Tl 0.5000 0.5000 0.5000  12 Ti 2.94
Ti 0.5000 0.0000 0.0000  2 N 2.08

Calculated values
DFT total energy, eV per cell: -134.4
N(E_F), states/eV per atom: 0.949
E_form (uncorrected), meV/atom: -933
Calculated volume, Å³/cell: 72.0

***

# TiWN2

A crystal of TiWN2 relaxed with PBEsol (meta-GGA SCAN, the Alexandria database).

Cell: 2.9858 2.9858 6.4672 Å, 76.65 76.65 60.00°
Closest atoms and distances in Å follow each position.
Element x y z (fractional)
W 0.5000 0.5000 0.5000  6 N 2.08
N 0.8952 0.8952 0.3143  1 Ti 1.96, 3 W 2.08
Ti 0.0000 0.0000 0.0000  2 N 1.96
N 0.1048 0.1048 0.6857  1 Ti 1.96, 3 W 2.08

Calculated values
DFT total energy, eV per cell: -105.7
N(E_F), states/eV per atom: 0.494
E_form (uncorrected), meV/atom: -362
Calculated volume, Å³/cell: 48.1

***

# YTiN2

A crystal of YTiN2 relaxed with PBEsol (meta-GGA SCAN, the Alexandria database).

Cell: 4.9240 4.9240 5.9137 Å, 114.60 114.60 90.00°
Closest atoms and distances in Å follow each position.
Element x y z (fractional)
Ti 0.5000 0.5000 0.0000  4 N 1.98
N 0.1250 0.1761 0.7500  2 Ti 1.98
N 0.6250 0.5739 0.7500  2 Ti 1.98
N 0.4261 0.8750 0.2500  2 Ti 1.98
Y 0.0000 0.0000 0.0000  4 N 2.27
N 0.8239 0.3750 0.2500  2 Ti 1.98
Y 0.2500 0.7500 0.5000  4 N 2.27
Ti 0.7500 0.2500 0.5000  4 N 1.98

Calculated values
DFT total energy, eV per cell: -137.9
N(E_F), states/eV per atom: 0.489
E_form (uncorrected), meV/atom: -1629
Calculated volume, Å³/cell: 115.9

***

# TiZnN3

A crystal of TiZnN3 relaxed with PBEsol (meta-GGA SCAN, the Alexandria database).

Cell: 3.8884 3.8884 3.8884 Å, 90.00 90.00 90.00°
Closest atoms and distances in Å follow each position.
Element x y z (fractional)
N 0.0000 0.0000 0.5000  2 Ti 1.94
N 0.5000 0.0000 0.0000  2 Ti 1.94
Ti 0.0000 0.0000 0.0000  6 N 1.94
Zn 0.5000 0.5000 0.5000  12 N 2.75
N 0.0000 0.5000 0.0000  2 Ti 1.94

Calculated values
DFT total energy, eV per cell: -54.4
N(E_F), states/eV per atom: 0.380
E_form (uncorrected), meV/atom: 604
Calculated volume, Å³/cell: 58.8

***

# Zr3TiN

A crystal of Zr3TiN relaxed with PBEsol (meta-GGA SCAN, the Alexandria database).

Cell: 4.4511 4.4511 4.4511 Å, 90.00 90.00 90.00°
Closest atoms and distances in Å follow each position.
Element x y z (fractional)
Zr 0.0000 0.0000 0.5000  2 N 2.23
Zr 0.5000 0.0000 0.0000  2 N 2.23
N 0.0000 0.0000 0.0000  6 Zr 2.23
Ti 0.5000 0.5000 0.5000  12 Zr 3.15
Zr 0.0000 0.5000 0.0000  2 N 2.23

Calculated values
DFT total energy, eV per cell: -121.4
N(E_F), states/eV per atom: 1.025
E_form (uncorrected), meV/atom: -802
Calculated volume, Å³/cell: 88.2

***

# ZrTiN2

A crystal of ZrTiN2 relaxed with PBEsol (meta-GGA SCAN, the Alexandria database).

Cell: 3.1069 3.1069 5.3702 Å, 73.19 73.19 60.00°
Closest atoms and distances in Å follow each position.
Element x y z (fractional)
N 0.2557 0.2557 0.2329  3 Ti 2.15, 3 Zr 2.25
N 0.7443 0.7443 0.7671  3 Ti 2.15, 3 Zr 2.25
Zr 0.5000 0.5000 0.5000  6 N 2.25
Ti 0.0000 0.0000 0.0000  6 N 2.15

Calculated values
DFT total energy, eV per cell: -73.0
N(E_F), states/eV per atom: 0.389
E_form (uncorrected), meV/atom: -1920
Calculated volume, Å³/cell: 42.3

***

# ZrTiN2

A crystal of ZrTiN2 relaxed with PBEsol (meta-GGA SCAN, the Alexandria database).

Cell: 3.1197 3.1197 4.4019 Å, 90.00 90.00 90.00°
Closest atoms and distances in Å follow each position.
Element x y z (fractional)
Zr 0.0000 0.0000 0.0000  6 N 2.20-2.21
N 0.5000 0.5000 0.0000  2 Ti 2.20, 4 Zr 2.21
N 0.0000 0.0000 0.5000  2 Zr 2.20, 4 Ti 2.21
Ti 0.5000 0.5000 0.5000  6 N 2.20-2.21

Calculated values
DFT total energy, eV per cell: -72.9
N(E_F), states/eV per atom: 0.401
E_form (uncorrected), meV/atom: -1895
Calculated volume, Å³/cell: 42.8

***

# TlW2N

A crystal of TlW2N relaxed with PBEsol (meta-GGA SCAN, the Alexandria database).

Cell: 4.3599 4.3599 4.3599 Å, 60.00 60.00 60.00°
Closest atoms and distances in Å follow each position.
Element x y z (fractional)
W 0.7500 0.7500 0.7500  4 N 2.67, 4 Tl 2.67
N 0.0000 0.0000 0.0000  8 W 2.67
W 0.2500 0.2500 0.2500  4 Tl 2.67, 4 N 2.67
Tl 0.5000 0.5000 0.5000  8 W 2.67

Calculated values
DFT total energy, eV per cell: -213.6
N(E_F), states/eV per atom: 0.312
E_form (uncorrected), meV/atom: 1853
Calculated volume, Å³/cell: 58.6

***

# YTl3N

A crystal of YTl3N relaxed with PBEsol (meta-GGA SCAN, the Alexandria database).

Cell: 5.9063 5.9063 5.9063 Å, 90.00 90.00 90.00°
Closest atoms and distances in Å follow each position.
Element x y z (fractional)
N 0.5000 0.5000 0.5000  12 Tl 4.18
Tl 0.0000 0.5000 0.0000  2 Y 2.95
Y 0.0000 0.0000 0.0000  6 Tl 2.95
Tl 0.0000 0.0000 0.5000  2 Y 2.95
Tl 0.5000 0.0000 0.0000  2 Y 2.95

Calculated values
DFT total energy, eV per cell: -247.6
N(E_F), states/eV per atom: 0.734
E_form (uncorrected), meV/atom: 1319
Calculated volume, Å³/cell: 206.0

***

# TlZn3N

A crystal of TlZn3N relaxed with PBEsol (meta-GGA SCAN, the Alexandria database).

Cell: 5.0716 5.0716 5.0716 Å, 90.00 90.00 90.00°
Closest atoms and distances in Å follow each position.
Element x y z (fractional)
Zn 0.0000 0.0000 0.5000  2 Tl 2.54
Zn 0.5000 0.0000 0.0000  2 Tl 2.54
Tl 0.0000 0.0000 0.0000  6 Zn 2.54
N 0.5000 0.5000 0.5000  12 Zn 3.59
Zn 0.0000 0.5000 0.0000  2 Tl 2.54

Calculated values
DFT total energy, eV per cell: -115.2
N(E_F), states/eV per atom: 0.409
E_form (uncorrected), meV/atom: 1407
Calculated volume, Å³/cell: 130.4

***

# TmN

A crystal of TmN relaxed with PBEsol (meta-GGA SCAN, the Alexandria database).

Cell: 3.3643 3.3643 3.3643 Å, 60.00 60.00 60.00°
Closest atoms and distances in Å follow each position.
Element x y z (fractional)
N 0.5000 0.5000 0.5000  6 Tm 2.38
Tm 0.0000 0.0000 0.0000  6 N 2.38

Calculated values
DFT total energy, eV per cell: -65.4
E_form (uncorrected), meV/atom: -2145
Calculated volume, Å³/cell: 26.9

***

Q: Which formula does entry 11 have?
A: TlZn3N

***

Q: Which formula does entry 3 have?
A: TiWN2